Compound: SiBrCl2
Source: Alexandria via LeMat-Bulk
Functional: PBE
Structure: optimized geometry

a b c (Å): 7.2349 7.2349 7.2349
angles (deg): 154.16 138.31 49.71
Closest atoms and distances in Å follow each position.
Atoms (fractional coordinates):
Si1 0.0000 0.0000 0.0000  2 Cl 2.40, 2 Br 2.52
Br1 0.1476 0.6476 0.5000  2 Si 2.52
Cl1 0.4981 0.4981 0.0000  4 Si 3.04, 4 Cl 3.11-3.24, 2 Br 3.24
Cl2 0.8652 0.3652 0.5000  2 Si 2.40

Results
- formation energy (no corrections) (eV per atom) = -0.156
- polymorph energy (0 for the lowest one) (meV/atom) = 444.9
- space-group type = Imm2, No. 44
- size of the total moment (μB/f.u.) = 0.0



Compound: La6CoTcSn2
Source: Alexandria via LeMat-Bulk
Functional: PBE
Structure: optimized geometry

a b c (Å): 7.5804 7.5829 7.5935
angles (deg): 90.10 119.86 119.97
Closest atoms and distances in Å follow each position.
Atoms (fractional coordinates):
La1 0.0000 0.0000 0.0000  1 Tc 2.62, 1 Co 2.68
La2 0.0010 0.4955 0.0012  1 Tc 2.59, 1 Co 2.68
La3 0.4934 0.4942 0.4926  1 Co 2.62, 1 Tc 2.87
La4 0.5050 0.9997 0.9988  1 Tc 2.58, 1 Co 2.69
La5 0.9946 0.4933 0.4915  1 Co 2.63, 1 Tc 2.81
La6 0.9955 0.9972 0.4918  1 Co 2.63, 1 Tc 2.86
Co1 0.0060 0.2498 0.2553  6 La 2.62-2.69
Tc1 0.0261 0.7566 0.7817  6 La 2.58-2.87
Sn1 0.5021 0.9981 0.5004  12 La 3.77-3.82
Sn2 0.5033 0.4985 0.0029  12 La 3.74-3.86

Results
- space-group type = P1, No. 1
- E_form (kJ/mol of formula units) = -371
- size of the total moment (μB/f.u.) = 0.0



Compound: HoNiPd
Source: Alexandria via LeMat-Bulk
Functional: PBE
Structure: optimized geometry

a b c (Å): 5.2421 5.2421 5.2421
angles (deg): 121.27 117.52 91.08
Closest atoms and distances in Å follow each position.
Atoms (fractional coordinates):
Ho1 0.3681 0.1181 0.2500  6 Ni 2.99-3.16, 6 Pd 3.03-3.12, 4 Ho 3.22
Ho2 0.6319 0.8819 0.7500  6 Ni 2.99-3.16, 6 Pd 3.03-3.12, 4 Ho 3.22
Ni1 0.0000 0.0000 0.5000  2 Ni 2.57, 4 Pd 2.62
Ni2 0.0000 0.5000 0.0000  2 Ni 2.57, 4 Pd 2.62
Pd1 0.0000 0.5000 0.5000  4 Ni 2.62, 2 Pd 2.72
Pd2 0.5000 0.5000 0.0000  4 Ni 2.62, 2 Pd 2.72

Results
- space-group type = Imma, No. 74
- E_form (kJ/mol of formula units) = -185
- size of the total moment (μB/f.u.) = 0.0



Compound: Na2Ce3DySe6
Source: Alexandria via LeMat-Bulk
Functional: PBE
Structure: optimized geometry

a b c (Å): 7.2820 7.2820 7.2913
angles (deg): 99.53 99.53 119.94
Closest atoms and distances in Å follow each position.
Atoms (fractional coordinates):
Na1 0.1654 0.8346 0.0000  6 Se 2.97-2.99
Na2 0.8346 0.1654 0.0000  6 Se 2.97-2.99
Ce1 0.0000 0.0000 0.5000  6 Se 2.98-3.03
Ce2 0.3288 0.6712 0.5000  6 Se 2.98-3.01
Ce3 0.6712 0.3288 0.5000  6 Se 2.98-3.01
Dy1 0.5000 0.5000 0.0000  6 Se 2.90-2.92
Se1 0.0938 0.4187 0.7564  1 Dy 2.90, 2 Na 2.97-2.99, 3 Ce 2.98-3.01
Se2 0.2592 0.2592 0.2495  1 Dy 2.92, 3 Ce 2.99-3.03, 2 Na 2.99
Se3 0.4187 0.0938 0.7564  1 Dy 2.90, 2 Na 2.97-2.99, 3 Ce 2.98-3.01
Se4 0.5813 0.9062 0.2436  1 Dy 2.90, 2 Na 2.97-2.99, 3 Ce 2.98-3.01
Se5 0.7408 0.7408 0.7505  1 Dy 2.92, 3 Ce 2.99-3.03, 2 Na 2.99
Se6 0.9062 0.5813 0.2436  1 Dy 2.90, 2 Na 2.97-2.99, 3 Ce 2.98-3.01

Results
- formation energy (no corrections) (eV per atom) = -1.674
- space-group type = C2/m, No. 12
- size of the total moment (μB/f.u.) = 3.9



Compound: KZnTeO4
Source: Alexandria via LeMat-Bulk
Functional: PBE
Structure: optimized geometry

a b c (Å): 6.3679 6.1974 6.5116
angles (deg): 90.00 104.04 90.00
Closest atoms and distances in Å follow each position.
Atoms (fractional coordinates):
K1 0.1148 0.2500 0.0579  4 O 2.57-2.87
K2 0.8852 0.7500 0.9421  4 O 2.57-2.87
Zn1 0.4095 0.2500 0.6821  4 O 1.98-2.04
Zn2 0.5905 0.7500 0.3179  4 O 1.98-2.04
Te1 0.2530 0.7500 0.5563  4 O 1.88-1.99
Te2 0.7470 0.2500 0.4437  4 O 1.88-1.99
O1 0.2245 0.0047 0.7243  1 Te 1.95, 1 Zn 1.98
O2 0.2245 0.4953 0.7243  1 Te 1.95, 1 Zn 1.98
O3 0.2630 0.7500 0.2536  1 Te 1.99, 1 Zn 2.02
O4 0.4420 0.2500 0.3783  1 Te 1.88, 1 Zn 2.04
O5 0.5580 0.7500 0.6217  1 Te 1.88, 1 Zn 2.04
O6 0.7370 0.2500 0.7464  1 Te 1.99, 1 Zn 2.02
O7 0.7755 0.5047 0.2757  1 Te 1.95, 1 Zn 1.98
O8 0.7755 0.9953 0.2757  1 Te 1.95, 1 Zn 1.98

Results
- formation energy (no corrections) (eV per atom) = -1.161
- space-group type = P2_1/m, No. 11
- size of the total moment (μB/f.u.) = 0.6



Compound: Tb4Zn2O
Source: Alexandria via LeMat-Bulk
Functional: PBE
Structure: optimized geometry

a b c (Å): 6.7553 6.8805 7.7808
angles (deg): 90.00 105.97 90.00
Closest atoms and distances in Å follow each position.
Atoms (fractional coordinates):
Tb1 0.0003 0.0061 0.2439  1 O 2.25
Tb2 0.0003 0.4939 0.2439  1 O 2.25
Tb3 0.9997 0.5061 0.7561  1 O 2.25
Tb4 0.9997 0.9939 0.7561  1 O 2.25
Tb5 0.3986 0.2500 0.5878  1 O 2.19
Tb6 0.4296 0.2500 0.1196  1 O 2.21
Tb7 0.5704 0.7500 0.8804  1 O 2.21
Tb8 0.6014 0.7500 0.4122  1 O 2.19
Zn1 0.2234 0.7500 0.5420  6 Tb 2.97-3.04
Zn2 0.2466 0.7500 0.0751  6 Tb 2.97-3.08
Zn3 0.7534 0.2500 0.9249  6 Tb 2.97-3.08
Zn4 0.7766 0.2500 0.4580  6 Tb 2.97-3.04
O1 0.2309 0.2500 0.3029  4 Tb 2.19-2.25
O2 0.7691 0.7500 0.6971  4 Tb 2.19-2.25

Results
- formation energy (no corrections) (eV per atom) = -0.946
- polymorph energy (0 for the lowest one) (meV/atom) = 20.1
- space-group type = P2_1/m, No. 11
- size of the total moment (μB/f.u.) = 0.0



no.,calculated density (g/cm3)
1,2.716
2,6.595
3,10.679
4,5.790
5,3.945
6,7.474